Computed, not measured: crystalline Mo3W at its relaxed geometry at the GGA-PBE level of DFT.

Results
energy of formation from the pure elements: 66 meV per atom
spin magnetization: 0.00 μB per cell
space-group type: No. 223

The structure in POSCAR format:
```
Mo3W
1.0
5.0584 0.0000 0.0000
0.0000 5.0584 0.0000
0.0000 0.0000 5.0584
Mo W
6 2
direct
0.2500 0.5000 0.0000 Mo
0.5000 0.0000 0.7500 Mo
0.0000 0.2500 0.5000 Mo
0.5000 0.0000 0.2500 Mo
0.7500 0.5000 0.0000 Mo
0.0000 0.7500 0.5000 Mo
0.0000 0.0000 0.0000 W
0.5000 0.5000 0.5000 W
```